<a>
Below is an optimized crystal structure of SrCd3Ga, with properties calculated at the PBE level.

a b c (Å): 6.3512 8.8428 9.5490
angles (deg): 108.63 90.00 90.00
Closest atoms and distances in Å follow each position.
Atoms (fractional coordinates):
Ga 0.0347 0.7566 0.5656  5 Cd 2.78-2.92
Cd 0.9311 0.7441 0.0578  1 Ga 2.78, 4 Cd 2.96-3.09
Cd 0.6769 0.4201 0.8839  2 Ga 2.89-2.92, 4 Cd 3.02-3.21
Cd 0.3231 0.5799 0.1161  2 Ga 2.89-2.92, 4 Cd 3.02-3.21
Cd 0.8231 0.9201 0.3839  2 Ga 2.89-2.92, 4 Cd 3.02-3.21
Cd 0.4311 0.7559 0.4422  1 Ga 2.78, 4 Cd 2.96-3.09
Cd 0.6718 0.5869 0.6308  2 Ga 2.92, 3 Cd 2.96-3.21
Sr 0.6689 0.0015 0.7642  3 Ga 3.30-3.33, 11 Cd 3.41-3.68
Cd 0.3282 0.4131 0.3692  2 Ga 2.92, 3 Cd 2.96-3.21
Cd 0.1718 0.9131 0.8692  2 Ga 2.92, 3 Cd 2.96-3.21
Cd 0.8282 0.0869 0.1308  2 Ga 2.92, 3 Cd 2.96-3.21
Cd 0.1769 0.0799 0.6161  2 Ga 2.89-2.92, 4 Cd 3.02-3.21
Ga 0.5347 0.7434 0.9344  5 Cd 2.78-2.92
Sr 0.8311 0.5015 0.2642  3 Ga 3.30-3.33, 11 Cd 3.41-3.68
Cd 0.0689 0.2559 0.9422  1 Ga 2.78, 4 Cd 2.96-3.09
Ga 0.9653 0.2434 0.4344  5 Cd 2.78-2.92
Cd 0.5689 0.2441 0.5578  1 Ga 2.78, 4 Cd 2.96-3.09
Sr 0.1689 0.4985 0.7358  3 Ga 3.30-3.33, 11 Cd 3.41-3.68
Ga 0.4653 0.2566 0.0656  5 Cd 2.78-2.92
Sr 0.3311 0.9985 0.2358  3 Ga 3.30-3.33, 11 Cd 3.41-3.68

For the theoretical density, the calculation gives 6.464 g/cm3. The calculation puts the density of states at the Fermi level at 8.021 states/eV per cell. The space group is P2_1/c (14). Its crystal system is monoclinic. For the volume, the calculation gives 127 Å³/f.u.

***

<b>
Below is an optimized crystal structure of SrCd3Ga, with properties calculated at the PBE level.

a b c (Å): 4.6255 4.6255 6.8429
angles (deg): 70.24 70.24 89.95
Closest atoms and distances in Å follow each position.
Atoms (fractional coordinates):
Ga 0.2155 0.2155 0.5695  5 Cd 2.67-2.78
Cd 0.8441 0.3441 0.3120  2 Ga 2.78, 2 Cd 2.92-2.93
Sr 0.6050 0.6050 0.7898  4 Ga 3.53, 12 Cd 3.54-3.90
Cd 0.9925 0.9925 0.0143  1 Ga 2.67, 4 Cd 2.92-2.93
Cd 0.3441 0.8441 0.3120  2 Ga 2.78, 2 Cd 2.92-2.93

For the theoretical density, the calculation gives 6.386 g/cm3. The calculation puts the density of states at the Fermi level at 2.448 states/eV per cell. The space group is I4mm (107). Its crystal system is tetragonal. For the volume, the calculation gives 129 Å³/f.u.

***

Quick one: most stable of them? <b>

***

<a>
Below is an optimized crystal structure of Sr2Cd3Ga2, with properties calculated at the PBE level.

a b c (Å): 3.7214 4.4150 11.7432
angles (deg): 100.83 90.00 90.00
Closest atoms and distances in Å follow each position.
Atoms (fractional coordinates):
Sr 0.0000 0.8464 0.6927  6 Ga 3.28-3.43, 5 Cd 3.53-3.54
Ga 0.5000 0.7214 0.4428  2 Ga 2.57
Cd 0.0000 0.0000 0.0000  8 Cd 3.26, 2 Sr 3.54
Sr 0.0000 0.1536 0.3073  6 Ga 3.28-3.43, 5 Cd 3.53-3.54
Cd 0.5000 0.4344 0.8689  5 Cd 3.02-3.26
Ga 0.5000 0.2786 0.5572  2 Ga 2.57
Cd 0.5000 0.5656 0.1311  5 Cd 3.02-3.26

For the theoretical density, the calculation gives 5.713 g/cm3. The calculation puts the density of states at the Fermi level at 3.546 states/eV per cell. The space group is Cmmm (65). Its crystal system is orthorhombic. For the volume, the calculation gives 190 Å³/f.u.

***

<b>
Below is an optimized crystal structure of Sr2Cd3Ga2, with properties calculated at the PBE level.

a b c (Å): 4.6577 7.7658 10.9543
angles (deg): 90.00 102.27 90.00
Closest atoms and distances in Å follow each position.
Atoms (fractional coordinates):
Ga 0.3193 0.4297 0.6386  3 Cd 2.77-2.84, 1 Ga 2.79
Cd 0.2195 0.7500 0.4390  4 Ga 2.84
Cd 0.4384 0.9305 0.8767  1 Ga 2.77, 2 Cd 2.80-2.85
Cd 0.4384 0.5695 0.8767  1 Ga 2.77, 2 Cd 2.80-2.85
Sr 0.0549 0.7500 0.1098  9 Cd 3.41-3.69
Ga 0.6807 0.5703 0.3614  3 Cd 2.77-2.84, 1 Ga 2.79
Cd 0.7805 0.2500 0.5610  4 Ga 2.84
Ga 0.3193 0.0703 0.6386  3 Cd 2.77-2.84, 1 Ga 2.79
Ga 0.6807 0.9297 0.3614  3 Cd 2.77-2.84, 1 Ga 2.79
Sr 0.8323 0.7500 0.6646  6 Cd 3.36-3.54, 6 Ga 3.42-3.53
Sr 0.9451 0.2500 0.8902  9 Cd 3.41-3.69
Cd 0.5616 0.4305 0.1233  1 Ga 2.77, 2 Cd 2.80-2.85
Cd 0.5616 0.0695 0.1233  1 Ga 2.77, 2 Cd 2.80-2.85
Sr 0.1677 0.2500 0.3354  6 Cd 3.36-3.54, 6 Ga 3.42-3.53

For the theoretical density, the calculation gives 5.592 g/cm3. The calculation puts the density of states at the Fermi level at 8.578 states/eV per cell. The space group is Cmcm (63). Its crystal system is orthorhombic. For the volume, the calculation gives 194 Å³/f.u.

***

Quick one: most stable of them? <b>